Ta2MnCd | PBE | relaxed

Calculated values
N(E_F) = 3.0 states/eV/f.u.
Electronic total energy = -32.69 eV/cell
Formation enthalpy at 0 K = 0.275 eV/atom

Cell: 5.2331 5.2331 5.2331 Å, 142.97 127.81 65.71°
Positions (direct):
Ta1 0.2220 0.2220 0.0000
Ta2 0.7780 0.7780 0.0000
Mn1 0.0000 0.5000 0.5000
Cd1 0.5000 0.0000 0.5000



TaMnCd2 | PBE | relaxed

Calculated values
N(E_F) = 2.4 states/eV/f.u.
Electronic total energy = -21.16 eV/cell
Formation enthalpy at 0 K = 0.423 eV/atom

Cell: 5.2871 5.2871 5.2871 Å, 135.27 135.27 65.11°
Positions (direct):
Ta1 0.0000 0.0000 0.0000
Mn1 0.5000 0.5000 0.0000
Cd1 0.2500 0.7500 0.5000
Cd2 0.7500 0.2500 0.5000



TaMn2Cd | PBE | relaxed

Calculated values
N(E_F) = 2.9 states/eV/f.u.
Electronic total energy = -30.16 eV/cell
Formation enthalpy at 0 K = 0.238 eV/atom

Cell: 2.8423 2.8423 8.2175 Å, 90.00 90.00 90.27°
Positions (direct):
Ta1 0.0000 0.0000 0.0000
Mn1 0.5000 0.5000 0.2384
Mn2 0.5000 0.5000 0.7616
Cd1 0.0000 0.0000 0.5000



TaMnCd2 | PBE | relaxed

Calculated values
N(E_F) = 3.8 states/eV/f.u.
Electronic total energy = -21.39 eV/cell
Formation enthalpy at 0 K = 0.366 eV/atom

Cell: 10.0659 10.0659 10.0659 Å, 16.87 16.87 16.87°
Positions (direct):
Ta1 0.0000 0.0000 0.0000
Mn1 0.5000 0.5000 0.5000
Cd1 0.2461 0.2461 0.2461
Cd2 0.7539 0.7539 0.7539



TaMn3Cd | PBE | relaxed

Calculated values
N(E_F) = 7.1 states/eV/f.u.
Electronic total energy = -31.74 eV/cell
Formation enthalpy at 0 K = 1.708 eV/atom

Cell: 4.7781 4.7781 4.7781 Å, 90.00 90.00 90.00°
Positions (direct):
Ta1 0.0000 0.0000 0.0000
Mn1 0.0000 0.5000 0.5000
Mn2 0.5000 0.0000 0.5000
Mn3 0.5000 0.5000 0.0000
Cd1 0.5000 0.5000 0.5000



TaMnCd2 | PBE | relaxed

Calculated values
N(E_F) = 2.1 states/eV/f.u.
Electronic total energy = -22.08 eV/cell
Formation enthalpy at 0 K = 0.192 eV/atom

Cell: 3.1963 3.2112 7.1009 Å, 90.00 90.00 90.00°
Positions (direct):
Ta1 0.0000 0.0000 0.0000
Mn1 0.5000 0.5000 0.1586
Cd1 0.0000 0.0000 0.4220
Cd2 0.5000 0.5000 0.7097



Tb6Mn2Cd | PBE | relaxed

Calculated values
N(E_F) = 9.4 states/eV/f.u.
Electronic total energy = -94.36 eV/cell
Formation enthalpy at 0 K = -0.016 eV/atom

Cell: 8.4532 8.4532 8.4532 Å, 110.91 109.53 107.99°
Positions (direct):
Tb1 0.0073 0.2264 0.7808
Tb2 0.1890 0.2868 0.4758
Tb3 0.1890 0.7132 0.9022
Tb4 0.3117 0.0214 0.7097
Tb5 0.3117 0.6020 0.2903
Tb6 0.4456 0.2264 0.2192
Tb7 0.5544 0.7736 0.7808
Tb8 0.6883 0.3980 0.7097
Tb9 0.6883 0.9786 0.2903
Tb10 0.8110 0.2868 0.0978
Tb11 0.8110 0.7132 0.5242
Tb12 0.9927 0.7736 0.2192
Mn1 0.1047 0.6047 0.5000
Mn2 0.3904 0.0000 0.3904
Mn3 0.6096 0.0000 0.6096
Mn4 0.8953 0.3953 0.5000
Cd1 0.0000 0.0000 0.0000
Cd2 0.5000 0.5000 0.0000



Tb4MnCd | PBE | relaxed

Calculated values
N(E_F) = 7.1 states/eV/f.u.
Electronic total energy = -57.65 eV/cell
Formation enthalpy at 0 K = -0.036 eV/atom

Cell: 7.7427 7.7427 6.0758 Å, 99.61 99.61 111.22°
Positions (direct):
Tb1 0.0616 0.7295 0.9551
Tb2 0.2009 0.3655 0.6121
Tb3 0.2705 0.9384 0.5449
Tb4 0.3655 0.2009 0.1121
Tb5 0.6345 0.7991 0.8879
Tb6 0.7295 0.0616 0.4551
Tb7 0.7991 0.6345 0.3879
Tb8 0.9384 0.2705 0.0449
Mn1 0.0010 0.9990 0.7500
Mn2 0.9990 0.0010 0.2500
Cd1 0.3751 0.6249 0.2500
Cd2 0.6249 0.3751 0.7500



TbThMnCd | PBE | relaxed

Calculated values
N(E_F) = 4.6 states/eV/f.u.
Electronic total energy = -21.84 eV/cell
Formation enthalpy at 0 K = 0.073 eV/atom

Cell: 5.2352 5.2352 5.2352 Å, 60.00 60.00 60.00°
Positions (direct):
Tb1 0.0000 0.0000 0.0000
Th1 0.5000 0.5000 0.5000
Mn1 0.7500 0.7500 0.7500
Cd1 0.2500 0.2500 0.2500



TbTmMnCd | PBE | relaxed

Calculated values
N(E_F) = 5.7 states/eV/f.u.
Electronic total energy = -19.24 eV/cell
Formation enthalpy at 0 K = -0.014 eV/atom

Cell: 5.1355 5.1355 5.1355 Å, 60.00 60.00 60.00°
Positions (direct):
Tb1 0.0000 0.0000 0.0000
Tm1 0.5000 0.5000 0.5000
Mn1 0.7500 0.7500 0.7500
Cd1 0.2500 0.2500 0.2500



Mn2CdTc | PBE | relaxed

Calculated values
N(E_F) = 4.1 states/eV/f.u.
Electronic total energy = -28.13 eV/cell
Formation enthalpy at 0 K = 0.373 eV/atom

Cell: 4.8534 4.8534 4.6764 Å, 103.81 103.81 34.61°
Positions (direct):
Mn1 0.0000 0.0000 0.0000
Mn2 0.7451 0.7451 0.2713
Cd1 0.2401 0.2401 0.7652
Tc1 0.4749 0.4749 0.4467



Mn2CdTc | PBE | relaxed

Calculated values
N(E_F) = 3.4 states/eV/f.u.
Electronic total energy = -28.39 eV/cell
Formation enthalpy at 0 K = 0.308 eV/atom

Cell: 8.9794 8.9794 8.9794 Å, 18.35 18.35 18.35°
Positions (direct):
Mn1 0.2422 0.2422 0.2422
Mn2 0.7578 0.7578 0.7578
Cd1 0.0000 0.0000 0.0000
Tc1 0.5000 0.5000 0.5000



Mn4CdTc | PBE | relaxed

Calculated values
N(E_F) = 6.4 states/eV/f.u.
Electronic total energy = -46.57 eV/cell
Formation enthalpy at 0 K = 0.232 eV/atom

Cell: 4.7948 4.7948 4.7948 Å, 60.00 60.00 60.00°
Positions (direct):
Mn1 0.3756 0.3756 0.3756
Mn2 0.3756 0.3756 0.8733
Mn3 0.3756 0.8733 0.3756
Mn4 0.8733 0.3756 0.3756
Cd1 0.7500 0.7500 0.7500
Tc1 0.0000 0.0000 0.0000



MnCdTc4 | PBE | relaxed

Calculated values
N(E_F) = 6.6 states/eV/f.u.
Electronic total energy = -49.04 eV/cell
Formation enthalpy at 0 K = 0.419 eV/atom

Cell: 5.1681 5.1681 5.1681 Å, 60.00 60.00 60.00°
Positions (direct):
Mn1 0.0000 0.0000 0.0000
Cd1 0.2500 0.2500 0.2500
Tc1 0.1244 0.6252 0.6252
Tc2 0.6252 0.1244 0.6252
Tc3 0.6252 0.6252 0.1244
Tc4 0.6252 0.6252 0.6252



MnCd3Tc | PBE | relaxed

Calculated values
N(E_F) = 5.8 states/eV/f.u.
Electronic total energy = -15.84 eV/cell
Formation enthalpy at 0 K = 1.288 eV/atom

Cell: 4.9809 4.9809 4.9809 Å, 90.00 90.00 90.00°
Positions (direct):
Mn1 0.0000 0.0000 0.0000
Cd1 0.0000 0.0000 0.5000
Cd2 0.0000 0.5000 0.0000
Cd3 0.5000 0.0000 0.0000
Tc1 0.5000 0.5000 0.5000



Mn2CdTc | PBE | relaxed

Calculated values
N(E_F) = 3.4 states/eV/f.u.
Electronic total energy = -28.78 eV/cell
Formation enthalpy at 0 K = 0.210 eV/atom

Cell: 2.9984 2.9984 6.9004 Å, 90.00 90.00 90.00°
Positions (direct):
Mn1 0.0000 0.0000 0.2176
Mn2 0.0000 0.0000 0.7824
Cd1 0.5000 0.5000 0.5000
Tc1 0.5000 0.5000 0.0000



Mn2CdTc2 | PBE | relaxed

Calculated values
N(E_F) = 4.4 states/eV/f.u.
Electronic total energy = -77.55 eV/cell
Formation enthalpy at 0 K = 0.243 eV/atom

Cell: 7.2587 7.2587 2.7228 Å, 90.00 90.00 90.00°
Positions (direct):
Mn1 0.1230 0.3770 0.0000
Mn2 0.3770 0.8770 0.0000
Mn3 0.6230 0.1230 0.0000
Mn4 0.8770 0.6230 0.0000
Cd1 0.0000 0.0000 0.0000
Cd2 0.5000 0.5000 0.0000
Tc1 0.1632 0.6632 0.5000
Tc2 0.3368 0.1632 0.5000
Tc3 0.6632 0.8368 0.5000
Tc4 0.8368 0.3368 0.5000



Mn2CdTc | PBE | relaxed

Calculated values
N(E_F) = 2.8 states/eV/f.u.
Electronic total energy = -28.36 eV/cell
Formation enthalpy at 0 K = 0.316 eV/atom

Cell: 9.0445 9.0445 9.0445 Å, 17.75 17.75 17.75°
Positions (direct):
Mn1 0.0000 0.0000 0.0000
Mn2 0.2587 0.2587 0.2587
Cd1 0.4999 0.4999 0.4999
Tc1 0.7375 0.7375 0.7375



MnCd4Tc | PBE | relaxed

Calculated values
N(E_F) = 4.3 states/eV/f.u.
Electronic total energy = -19.58 eV/cell
Formation enthalpy at 0 K = 0.604 eV/atom

Cell: 5.5080 5.5080 5.5080 Å, 60.00 60.00 60.00°
Positions (direct):
Mn1 0.0000 0.0000 0.0000
Cd1 0.3753 0.3753 0.3753
Cd2 0.3753 0.3753 0.8740
Cd3 0.3753 0.8740 0.3753
Cd4 0.8740 0.3753 0.3753
Tc1 0.7500 0.7500 0.7500



Mn2CdTc | PBE | relaxed

Calculated values
N(E_F) = 5.7 states/eV/f.u.
Electronic total energy = -53.19 eV/cell
Formation enthalpy at 0 K = 0.756 eV/atom

Cell: 5.6210 5.6210 5.6210 Å, 103.62 103.62 121.94°
Positions (direct):
Mn1 0.0811 0.6250 0.9561
Mn2 0.3750 0.3311 0.4561
Mn3 0.6689 0.1250 0.0439
Mn4 0.8750 0.9189 0.5439
Cd1 0.2500 0.7500 0.5000
Cd2 0.5000 0.5000 0.0000
Tc1 0.0000 0.0000 0.0000
Tc2 0.7500 0.2500 0.5000